# 1
The following is a GGA-PBE calculation of ZnHgSeO after structural relaxation, from OQMD.

The calculation puts the uncorrected energy at -50.44 eV/cell. For the energy above the most stable polymorph in this dataset, the calculation gives 0 meV/atom.

It has space group Pca2_1 (No. 29), with a = 6.1306 Å, b = 8.6845 Å, c = 5.6788 Å, α = 90.00°, β = 90.00° and γ = 90.00°. The inequivalent atoms are Zn at (0.1133, 0.0668, 0.0000), Hg at (0.0344, 0.6648, 0.0974), Se at (0.0140, 0.6603, 0.6089) and O at (0.0974, 0.0717, 0.6513).

=====

# 2
The following is a GGA-PBE calculation of ZnHgSeO after structural relaxation, from OQMD.

The calculation puts the uncorrected energy at -49.26 eV/cell. For the energy above the most stable polymorph in this dataset, the calculation gives 74 meV/atom.

It has space group Pnma (No. 62), with a = 5.8621 Å, b = 3.8652 Å, c = 13.3645 Å, α = 90.00°, β = 90.00° and γ = 90.00°. The inequivalent atoms are Zn at (0.1578, 0.2500, 0.1867), Hg at (0.2089, 0.7500, 0.4021), Se at (0.2427, 0.2500, 0.5769) and O at (0.1789, 0.7500, 0.8130).

=====

# 3
The following is a GGA-PBE calculation of ZnHgSeO after structural relaxation, from OQMD.

The calculation puts the uncorrected energy at -47.60 eV/cell. For the energy above the most stable polymorph in this dataset, the calculation gives 178 meV/atom.

It has space group Cmcm (No. 63), with a = 2.8468 Å, b = 18.2610 Å, c = 5.6280 Å, α = 90.00°, β = 90.00° and γ = 90.00°. The inequivalent atoms are Zn at (0.0000, 0.0150, 0.2500), Hg at (0.0000, 0.3315, 0.2500), Se at (0.0000, 0.3303, 0.7500) and O at (0.0000, 0.5000, 0.0000).

=====

# 4
The following is a GGA-PBE calculation of ZnHgSeO after structural relaxation, from OQMD.

The calculation puts the uncorrected energy at -20.76 eV/cell. For the energy above the most stable polymorph in this dataset, the calculation gives 557 meV/atom.

It has space group P4/nmm (No. 129, origin choice 2), with a = 4.6830 Å, b = 4.6830 Å, c = 7.8175 Å, α = 90.00°, β = 90.00° and γ = 90.00°. The inequivalent atoms are Zn at (0.2500, 0.7500, 0.0000), Hg at (0.2500, 0.2500, 0.3192), Se at (0.2500, 0.2500, 0.8577) and O at (0.2500, 0.2500, 0.6367).